Record 1
# La2Pr3N4

An optimized crystal structure of La2Pr3N4 (GGA-PBE, the Alexandria database).

formation energy from raw total energies	-1.183	eV/atom
DOS(E_F)	0.355	states/eV per atom
SG	No. 12

Lattice parameters (Å, degrees): 6.4455 6.4455 9.2203 118.32 118.32 33.32
Last column: nearest neighbours and their distance in Å.
Fractional positions:
La 0.1056 0.1056 0.3834  4 N 2.44-2.70
La 0.8944 0.8944 0.6166  4 N 2.44-2.70
Pr 0.2931 0.2931 0.1845  5 N 2.47-2.73
Pr 0.5000 0.5000 0.0000  6 N 2.65
Pr 0.7069 0.7069 0.8155  5 N 2.47-2.73
N 0.1058 0.1058 0.9052  5 Pr 2.47-2.65, 1 La 2.65
N 0.3041 0.3041 0.6943  3 La 2.44-2.70, 3 Pr 2.65-2.73
N 0.6959 0.6959 0.3057  3 La 2.44-2.70, 3 Pr 2.65-2.73
N 0.8942 0.8942 0.0948  5 Pr 2.47-2.65, 1 La 2.65



Record 2
# Tl6Br5F2

An optimized crystal structure of Tl6Br5F2 (GGA-PBE, the Alexandria database).

formation energy from raw total energies	-1.047	eV/atom
DOS(E_F)	0.558	states/eV per atom
SG	No. 55

Lattice parameters (Å, degrees): 12.7584 15.7401 4.2458 90.00 90.00 90.00
Last column: nearest neighbours and their distance in Å.
Fractional positions:
Tl 0.0193 0.1191 0.0000  1 F 2.51
Tl 0.1608 0.6022 0.0000  1 F 2.77
Tl 0.1761 0.3174 0.5000  2 F 2.65
Tl 0.3239 0.8174 0.5000  2 F 2.65
Tl 0.3392 0.1022 0.0000  1 F 2.77
Tl 0.4807 0.6191 0.0000  1 F 2.51
Tl 0.5193 0.3809 0.0000  1 F 2.51
Tl 0.6608 0.8978 0.0000  1 F 2.77
Tl 0.6761 0.1826 0.5000  2 F 2.65
Tl 0.8239 0.6826 0.5000  2 F 2.65
Tl 0.8392 0.3978 0.0000  1 F 2.77
Tl 0.9807 0.8809 0.0000  1 F 2.51
Br 0.0000 0.5000 0.5000  6 Tl 3.36-3.65
Br 0.0778 0.7471 0.5000  6 Tl 3.24-3.40
Br 0.1717 0.0185 0.5000  4 Tl 3.28-3.29
Br 0.3283 0.5185 0.5000  4 Tl 3.28-3.29
Br 0.4222 0.2471 0.5000  6 Tl 3.24-3.40
Br 0.5000 0.0000 0.5000  6 Tl 3.36-3.65
Br 0.5778 0.7529 0.5000  6 Tl 3.24-3.40
Br 0.6717 0.4815 0.5000  4 Tl 3.28-3.29
Br 0.8283 0.9815 0.5000  4 Tl 3.28-3.29
Br 0.9222 0.2529 0.5000  6 Tl 3.24-3.40
F 0.1746 0.2170 0.0000  4 Tl 2.51-2.77
F 0.3254 0.7170 0.0000  4 Tl 2.51-2.77
F 0.6746 0.2830 0.0000  4 Tl 2.51-2.77
F 0.8254 0.7830 0.0000  4 Tl 2.51-2.77



Record 3
# Sr4ThPa3N8

An optimized crystal structure of Sr4ThPa3N8 (GGA-PBE, the Alexandria database).

formation energy from raw total energies	-1.348	eV/atom
DOS(E_F)	0.628	states/eV per atom
SG	No. 166

Lattice parameters (Å, degrees): 7.3347 7.3347 7.3347 59.60 59.60 59.60
Last column: nearest neighbours and their distance in Å.
Fractional positions:
Sr 0.0000 0.0000 0.0000  6 N 2.72
Sr 0.0000 0.5000 0.5000  6 N 2.80-2.83
Sr 0.5000 0.0000 0.5000  6 N 2.80-2.83
Sr 0.5000 0.5000 0.0000  6 N 2.80-2.83
Th 0.5000 0.5000 0.5000  6 N 2.50
Pa 0.0000 0.0000 0.5000  6 N 2.37-2.40
Pa 0.0000 0.5000 0.0000  6 N 2.37-2.40
Pa 0.5000 0.0000 0.0000  6 N 2.37-2.40
N 0.2159 0.7395 0.7395  2 Pa 2.37, 1 Th 2.50
N 0.2311 0.2311 0.2311  3 Pa 2.40
N 0.2605 0.2605 0.7841  2 Pa 2.37, 1 Th 2.50
N 0.2605 0.7841 0.2605  2 Pa 2.37, 1 Th 2.50
N 0.7395 0.2159 0.7395  2 Pa 2.37, 1 Th 2.50
N 0.7395 0.7395 0.2159  2 Pa 2.37, 1 Th 2.50
N 0.7689 0.7689 0.7689  3 Pa 2.40
N 0.7841 0.2605 0.2605  2 Pa 2.37, 1 Th 2.50



Record 4
# NaBiAu

An optimized crystal structure of NaBiAu (GGA-PBE, the Alexandria database).

ΔH_f (0 K)	-140	meV per atom
DOS(E_F)	0.284	states/eV per atom
SG	No. 107

Lattice parameters (Å, degrees): 5.7049 5.7049 5.7049 140.69 140.69 56.80
Last column: nearest neighbours and their distance in Å.
Fractional positions:
Na 0.0000 0.0000 0.0000  5 Bi 3.11-3.32, 5 Au 3.16-3.40
Bi 0.3099 0.3099 0.0000  4 Au 3.10, 5 Na 3.11-3.32
Au 0.6610 0.6610 0.0000  4 Bi 3.10, 5 Na 3.16-3.40



Record 5
# Na2ZnTe2

An optimized crystal structure of Na2ZnTe2 (GGA-PBE, the Alexandria database).

formation energy from raw total energies	-0.732	eV/atom
SG	No. 36

Lattice parameters (Å, degrees): 8.9922 8.9922 7.2999 90.00 90.00 150.96
Last column: nearest neighbours and their distance in Å.
Fractional positions:
Na 0.0225 0.9775 0.5000  5 Te 3.09-3.16, 2 Zn 3.18
Na 0.1969 0.8031 0.2645  5 Te 3.25-3.57, 1 Na 3.49
Na 0.8031 0.1969 0.7645  5 Te 3.25-3.57, 1 Na 3.49
Na 0.9775 0.0225 0.0000  5 Te 3.09-3.16, 2 Zn 3.18
Zn 0.4121 0.5879 0.3419  4 Te 2.72-2.80
Zn 0.5879 0.4121 0.8419  4 Te 2.72-2.80
Te 0.1665 0.8335 0.7481  2 Zn 2.72
Te 0.4362 0.5638 0.7135  2 Zn 2.74-2.80
Te 0.5638 0.4362 0.2135  2 Zn 2.74-2.80
Te 0.8335 0.1665 0.2481  2 Zn 2.72



Record 6
# NdThCd3

An optimized crystal structure of NdThCd3 (GGA-PBE, the Alexandria database).

ΔH_f (0 K)	-211	meV per atom
DOS(E_F)	0.775	states/eV per atom
SG	No. 63

Lattice parameters (Å, degrees): 15.4044 15.4044 5.0871 90.00 90.00 167.24
Last column: nearest neighbours and their distance in Å.
Fractional positions:
Nd 0.2139 0.7861 0.7500  7 Cd 3.31-3.47, 2 Nd 3.42
Nd 0.7861 0.2139 0.2500  7 Cd 3.31-3.47, 2 Nd 3.42
Th 0.0739 0.9261 0.2500  12 Cd 3.38-3.48, 2 Th 3.42
Th 0.9261 0.0739 0.7500  12 Cd 3.38-3.48, 2 Th 3.42
Cd 0.3273 0.6727 0.7500  2 Cd 3.01, 4 Nd 3.31
Cd 0.3799 0.6201 0.2500  3 Cd 2.95-3.01
Cd 0.4763 0.5237 0.2500  3 Cd 2.93-2.95
Cd 0.5237 0.4763 0.7500  3 Cd 2.93-2.95
Cd 0.6201 0.3799 0.7500  3 Cd 2.95-3.01
Cd 0.6727 0.3273 0.2500  2 Cd 3.01, 4 Nd 3.31



Record 7
# MgScMn2Sb

An optimized crystal structure of MgScMn2Sb (GGA-PBE, the Alexandria database).

formation energy from raw total energies	0.868	eV/atom
DOS(E_F)	0.909	states/eV per atom
SG	No. 123

Lattice parameters (Å, degrees): 4.8253 4.8253 5.3926 90.00 90.00 90.00
Last column: nearest neighbours and their distance in Å.
Fractional positions:
Mg 0.0000 0.0000 0.0000  4 Sb 3.41, 8 Mn 3.62
Sc 0.5000 0.5000 0.5000  4 Mn 2.41, 2 Sb 2.70
Mn 0.0000 0.5000 0.5000  2 Sc 2.41
Mn 0.5000 0.0000 0.5000  2 Sc 2.41
Sb 0.5000 0.5000 0.0000  2 Sc 2.70



Record 8
# HOsNO

An optimized crystal structure of HOsNO (GGA-PBE, the Alexandria database).

VASP energy	-7.03	eV/atom
DOS(E_F)	0.428	states/eV per atom
SG	No. 6

Lattice parameters (Å, degrees): 2.8027 4.1298 3.5697 90.00 109.39 90.00
Last column: nearest neighbours and their distance in Å.
Fractional positions:
H 0.0000 0.0000 0.0000  1 O 0.98
Os 0.7705 0.5000 0.6296  3 N 1.96-2.01, 2 O 2.09
N 0.1003 0.5000 0.2226  3 Os 1.96-2.01
O 0.7990 0.0000 0.7181  1 H 0.98



- Which formula does entry 5 have?
  Na2ZnTe2